First-principles (PBE) data for crystalline AcGe4Pt6 at its relaxed geometry, as listed in the Alexandria database.

Cell lengths 6.632, 6.632, 6.632 Å; angles 117.48, 117.48, 94.42 degrees
Positions (direct):
1 Ac 0.000 0.000 0.000
2 Ge 0.137 0.536 0.000
3 Ge 0.464 0.464 0.601
4 Ge 0.536 0.137 0.000
5 Ge 0.863 0.863 0.399
6 Pt 0.000 0.500 0.500
7 Pt 0.222 0.222 0.684
8 Pt 0.462 0.778 0.000
9 Pt 0.500 0.000 0.500
10 Pt 0.538 0.538 0.316
11 Pt 0.778 0.462 0.000

Computed properties:
The value obtained for the volume is 19.4 Å³ per atom. The value obtained for the total energy is -5.9444 eV per atom. Its space group is I-42m (121). The total magnetic moment comes out at 0.000 μB/f.u.

First-principles (PBE) data for crystalline Ac2Ge5Pt3 at its relaxed geometry, as listed in the Alexandria database.

Cell lengths 8.730, 8.730, 6.443 Å; angles 110.90, 110.90, 92.47 degrees
Positions (direct):
1 Ac 0.111 0.368 0.232
2 Ac 0.368 0.111 0.732
3 Ac 0.632 0.889 0.268
4 Ac 0.889 0.632 0.768
5 Ge 0.001 0.999 0.750
6 Ge 0.251 0.469 0.836
7 Ge 0.255 0.745 0.750
8 Ge 0.260 0.740 0.250
9 Ge 0.469 0.251 0.336
10 Ge 0.531 0.749 0.664
11 Ge 0.740 0.260 0.750
12 Ge 0.745 0.255 0.250
13 Ge 0.749 0.531 0.164
14 Ge 0.999 0.001 0.250
15 Pt 0.017 0.752 0.385
16 Pt 0.248 0.983 0.115
17 Pt 0.476 0.524 0.250
18 Pt 0.524 0.476 0.750
19 Pt 0.752 0.017 0.885
20 Pt 0.983 0.248 0.615

Computed properties:
The value obtained for the volume is 21.0 Å³ per atom. The value obtained for the total energy is -5.7945 eV per atom. Its space group is C2/c (15). The total magnetic moment comes out at 0.000 μB/f.u.

First-principles (PBE) data for crystalline Ac2Ge5Pt at its relaxed geometry, as listed in the Alexandria database.

Cell lengths 6.136, 6.136, 10.377 Å; angles 90.00, 90.00, 90.00 degrees
Positions (direct):
1 Ac 0.000 0.500 0.000
2 Ac 0.000 0.500 0.500
3 Ac 0.500 0.000 0.000
4 Ac 0.500 0.000 0.500
5 Ge 0.000 0.000 0.085
6 Ge 0.230 0.230 0.258
7 Ge 0.230 0.770 0.258
8 Ge 0.270 0.270 0.758
9 Ge 0.270 0.730 0.758
10 Ge 0.500 0.500 0.585
11 Ge 0.730 0.270 0.758
12 Ge 0.730 0.730 0.758
13 Ge 0.770 0.230 0.258
14 Ge 0.770 0.770 0.258
15 Pt 0.000 0.000 0.662
16 Pt 0.500 0.500 0.162

Computed properties:
The value obtained for the volume is 24.4 Å³ per atom. The value obtained for the total energy is -5.2362 eV per atom. Its space group is I4mm (107). The total magnetic moment comes out at 0.000 μB/f.u.

First-principles (PBE) data for crystalline Ac4Ge2Pt5 at its relaxed geometry, as listed in the Alexandria database.

Cell lengths 7.396, 4.352, 8.527 Å; angles 90.00, 90.79, 90.00 degrees
Positions (direct):
1 Ac 0.228 0.000 0.377
2 Ac 0.262 0.000 0.884
3 Ac 0.738 0.000 0.116
4 Ac 0.772 0.000 0.623
5 Ge 0.423 0.500 0.632
6 Ge 0.577 0.500 0.368
7 Pt 0.000 0.500 0.000
8 Pt 0.082 0.500 0.660
9 Pt 0.354 0.500 0.139
10 Pt 0.646 0.500 0.861
11 Pt 0.918 0.500 0.340

Computed properties:
The value obtained for the volume is 24.9 Å³ per atom. The value obtained for the total energy is -6.0807 eV per atom. Its space group is P2/m (10). The total magnetic moment comes out at 0.000 μB/f.u.

First-principles (PBE) data for crystalline AcGe2Pt3 at its relaxed geometry, as listed in the Alexandria database.

Cell lengths 8.323, 8.323, 7.686 Å; angles 114.13, 114.13, 29.75 degrees
Positions (direct):
1 Ac 0.156 0.156 0.077
2 Ac 0.844 0.844 0.923
3 Ge 0.185 0.185 0.672
4 Ge 0.482 0.482 0.819
5 Ge 0.518 0.518 0.181
6 Ge 0.815 0.815 0.328
7 Pt 0.039 0.039 0.361
8 Pt 0.316 0.316 0.574
9 Pt 0.398 0.398 0.307
10 Pt 0.602 0.602 0.693
11 Pt 0.684 0.684 0.426
12 Pt 0.961 0.961 0.639

Computed properties:
The value obtained for the volume is 20.0 Å³ per atom. The value obtained for the total energy is -6.0129 eV per atom. Its space group is C2/m (12). The total magnetic moment comes out at 0.000 μB/f.u.

First-principles (PBE) data for crystalline AcGePt4 at its relaxed geometry, as listed in the Alexandria database.

Cell lengths 6.324, 6.324, 7.738 Å; angles 110.38, 110.38, 56.89 degrees
Positions (direct):
1 Ac 0.189 0.189 0.287
2 Ac 0.811 0.811 0.713
3 Ge 0.442 0.442 0.705
4 Ge 0.558 0.558 0.295
5 Pt 0.144 0.633 0.088
6 Pt 0.227 0.773 0.500
7 Pt 0.239 0.239 0.746
8 Pt 0.367 0.856 0.912
9 Pt 0.633 0.144 0.088
10 Pt 0.761 0.761 0.254
11 Pt 0.773 0.227 0.500
12 Pt 0.856 0.367 0.912

Computed properties:
For the energy above the most stable polymorph in this dataset, the calculation gives 0.0 meV per atom. The value obtained for the volume is 19.8 Å³ per atom. Its space group is C2/m (12). The total magnetic moment comes out at 0.000 μB/f.u.

First-principles (PBE) data for crystalline Ac3Ge2Pt at its relaxed geometry, as listed in the Alexandria database.

Cell lengths 7.882, 7.882, 9.040 Å; angles 106.65, 106.65, 47.93 degrees
Positions (direct):
1 Ac 0.004 0.996 0.750
2 Ac 0.340 0.341 0.920
3 Ac 0.341 0.340 0.420
4 Ac 0.659 0.660 0.580
5 Ac 0.660 0.659 0.080
6 Ac 0.996 0.004 0.250
7 Ge 0.169 0.170 0.585
8 Ge 0.170 0.169 0.085
9 Ge 0.830 0.831 0.915
10 Ge 0.831 0.830 0.415
11 Pt 0.497 0.503 0.250
12 Pt 0.503 0.497 0.750

Computed properties:
For the energy above the most stable polymorph in this dataset, the calculation gives 127.2 meV per atom. The value obtained for the volume is 33.0 Å³ per atom. Its space group is C2/c (15). The total magnetic moment comes out at 0.000 μB/f.u.

First-principles (PBE) data for crystalline AcGe3Pt5 at its relaxed geometry, as listed in the Alexandria database.

Cell lengths 6.800, 6.800, 13.211 Å; angles 90.00, 90.00, 145.67 degrees
Positions (direct):
1 Ac 0.162 0.838 0.750
2 Ac 0.838 0.162 0.250
3 Ge 0.108 0.892 0.250
4 Ge 0.379 0.621 0.033
5 Ge 0.379 0.621 0.467
6 Ge 0.621 0.379 0.533
7 Ge 0.621 0.379 0.967
8 Ge 0.892 0.108 0.750
9 Pt 0.000 0.000 0.000
10 Pt 0.000 0.000 0.500
11 Pt 0.203 0.797 0.084
12 Pt 0.203 0.797 0.416
13 Pt 0.463 0.537 0.647
14 Pt 0.463 0.537 0.853
15 Pt 0.537 0.463 0.147
16 Pt 0.537 0.463 0.353
17 Pt 0.797 0.203 0.584
18 Pt 0.797 0.203 0.916

Computed properties:
The value obtained for the volume is 19.1 Å³ per atom. The value obtained for the total energy is -6.0538 eV per atom. Its space group is Cmcm (63). The total magnetic moment comes out at 0.000 μB/f.u.

First-principles (PBE) data for crystalline Ac3Ge4Pt2 at its relaxed geometry, as listed in the Alexandria database.

Cell lengths 6.264, 6.264, 9.010 Å; angles 108.43, 108.43, 42.10 degrees
Positions (direct):
1 Ac 0.000 0.000 0.000
2 Ac 0.381 0.381 0.317
3 Ac 0.619 0.619 0.683
4 Ge 0.127 0.127 0.414
5 Ge 0.278 0.278 0.935
6 Ge 0.722 0.722 0.065
7 Ge 0.873 0.873 0.586
8 Pt 0.332 0.332 0.686
9 Pt 0.668 0.668 0.314

Computed properties:
For the energy above the most stable polymorph in this dataset, the calculation gives 98.6 meV per atom. The value obtained for the volume is 24.8 Å³ per atom. Its space group is C2/m (12). The total magnetic moment comes out at 0.000 μB/f.u.

First-principles (PBE) data for crystalline Ac8Ge2Pt at its relaxed geometry, as listed in the Alexandria database.

Cell lengths 10.232, 10.232, 9.578 Å; angles 98.19, 98.19, 25.01 degrees
Positions (direct):
1 Ac 0.006 0.006 0.212
2 Ac 0.216 0.216 0.343
3 Ac 0.341 0.341 0.003
4 Ac 0.401 0.401 0.452
5 Ac 0.599 0.599 0.548
6 Ac 0.659 0.659 0.997
7 Ac 0.784 0.784 0.657
8 Ac 0.994 0.994 0.788
9 Ge 0.183 0.183 0.762
10 Ge 0.817 0.817 0.238
11 Pt 0.500 0.500 0.000

Computed properties:
The value obtained for the volume is 38.1 Å³ per atom. The value obtained for the total energy is -4.8272 eV per atom. Its space group is C2/m (12). The total magnetic moment comes out at 0.000 μB/f.u.

First-principles (PBE) data for crystalline Ac2Ge3Pt at its relaxed geometry, as listed in the Alexandria database.

Cell lengths 8.846, 8.746, 6.337 Å; angles 69.73, 68.04, 42.23 degrees
Positions (direct):
1 Ac 0.250 0.250 0.250
2 Ac 0.250 0.750 0.250
3 Ac 0.750 0.250 0.750
4 Ac 0.750 0.750 0.750
5 Ge 0.168 0.664 0.832
6 Ge 0.169 0.169 0.831
7 Ge 0.336 0.832 0.664
8 Ge 0.664 0.168 0.336
9 Ge 0.831 0.831 0.169
10 Ge 0.832 0.336 0.168
11 Pt 0.334 0.334 0.666
12 Pt 0.666 0.666 0.334

Computed properties:
For the energy above the most stable polymorph in this dataset, the calculation gives 0.0 meV per atom. The value obtained for the volume is 25.3 Å³ per atom. Its space group is Fmmm (69). The total magnetic moment comes out at 0.000 μB/f.u.

First-principles (PBE) data for crystalline Ac2GePt3 at its relaxed geometry, as listed in the Alexandria database.

Cell lengths 8.991, 8.876, 6.180 Å; angles 70.76, 68.77, 40.47 degrees
Positions (direct):
1 Ac 0.241 0.759 0.759
2 Ac 0.250 0.250 0.250
3 Ac 0.750 0.750 0.750
4 Ac 0.759 0.241 0.241
5 Ge 0.335 0.335 0.665
6 Ge 0.665 0.665 0.335
7 Pt 0.172 0.655 0.345
8 Pt 0.173 0.173 0.827
9 Pt 0.345 0.828 0.172
10 Pt 0.655 0.172 0.828
11 Pt 0.827 0.827 0.173
12 Pt 0.828 0.345 0.655

Computed properties:
The value obtained for the volume is 24.8 Å³ per atom. The value obtained for the total energy is -6.2165 eV per atom. Its space group is Fmmm (69). The total magnetic moment comes out at 0.000 μB/f.u.

Q: Which value of total magnetic moment does entry 12 give?
A: 0.000 μB/f.u.